{"formula": "Ac2MnAs4Rh3", "functional": "PBE", "state": "optimized geometry", "cell": [[4.4125, 0.0000, 0.0000], [0.0000, 4.4125, 0.0000], [0.0000, 0.0000, 10.2309]], "species": ["Ac", "Ac", "Mn", "As", "As", "As", "As", "Rh", "Rh", "Rh"], "fractional_positions": [[0.5000, 0.0000, 0.2443], [0.0000, 0.5000, 0.7557], [0.5000, 0.5000, 0.5000], [0.5000, 0.5000, 0.0000], [0.0000, 0.0000, 0.0000], [0.5000, 0.0000, 0.6329], [0.0000, 0.5000, 0.3671], [0.0000, 0.0000, 0.5000], [0.5000, 0.0000, 0.8836], [0.0000, 0.5000, 0.1164]], "formation_energy_ev_per_atom": -0.859, "rho_g_cm3": 9.314, "crystal_system": "tetragonal", "space_group": "P-4m2 (115)"}

=====

{"formula": "AcMnAs2Rh5", "functional": "PBE", "state": "optimized geometry", "cell": [[-2.5146, -2.6016, -1.9612], [1.9884, -3.1880, 1.6795], [-6.4586, 0.1968, 8.0199]], "species": ["Ac", "Mn", "As", "As", "Rh", "Rh", "Rh", "Rh", "Rh"], "fractional_positions": [[0.0000, 0.0000, 0.5000], [0.0000, 0.0000, 0.0000], [0.5000, 0.5000, 0.2665], [0.5000, 0.5000, 0.7335], [0.0000, 0.5000, 0.1455], [0.5000, 0.0000, 0.1455], [0.0000, 0.5000, 0.8545], [0.5000, 0.0000, 0.8545], [0.5000, 0.5000, 0.5000]], "formation_energy_ev_per_atom": -0.408, "rho_g_cm3": 9.008, "crystal_system": "tetragonal", "space_group": "P4/mmm (123)"}

=====

{"formula": "AcMoAs2", "functional": "PBE", "state": "optimized geometry", "cell": [[-0.8650, 2.9887, 1.3255], [0.8413, -1.1215, 3.0777], [6.8533, 2.4227, -0.9905]], "species": ["As", "As", "Ac", "Mo"], "fractional_positions": [[0.0000, 0.0000, 0.8060], [0.0000, 0.0000, 0.1940], [0.5000, 0.5000, 0.5000], [0.5000, 0.5000, 0.0000]], "formation_energy_ev_per_atom": -0.340, "rho_g_cm3": 9.356, "crystal_system": "tetragonal", "space_group": "P4/mmm (123)", "e_above_lowest_polymorph_kcal_per_mol_atoms": 4.83}

=====

{"formula": "AcMoAs2", "functional": "PBE", "state": "optimized geometry", "cell": [[4.1701, 0.0000, 0.0000], [2.0850, 3.6114, 0.0000], [2.0850, 1.2038, 6.3499]], "species": ["As", "As", "Ac", "Mo"], "fractional_positions": [[0.7292, 0.7292, 0.8123], [0.2708, 0.2708, 0.1877], [0.5000, 0.5000, 0.5000], [0.0000, 0.0000, 0.0000]], "formation_energy_ev_per_atom": -0.550, "rho_g_cm3": 8.210, "crystal_system": "trigonal", "space_group": "R-3m (166)", "e_above_lowest_polymorph_kcal_per_mol_atoms": 0.00}

=====

no.,raw total energy (eV/atom)
1,-6.663
2,-7.000
3,-6.400
4,-6.609